The following is a DFT calculation (GGA-PBE) of a relaxed Na2MnGeSe5 crystal.

Cell lengths 3.685, 9.554, 12.895 Å; angles 90.00, 90.00, 101.12 degrees
Sites, in units of the cell vectors:
Ge1 0.431 0.862 0.435
Ge2 0.569 0.138 0.935
Se1 0.302 0.605 0.413
Se2 0.961 0.921 0.550
Se3 0.039 0.079 0.050
Se4 0.698 0.395 0.913
Se5 0.346 0.693 0.984
Se6 0.654 0.307 0.484
Se7 0.722 0.445 0.168
Se8 0.485 0.971 0.273
Se9 0.278 0.555 0.668
Se10 0.515 0.029 0.773
Na1 0.115 0.229 0.302
Na2 0.115 0.229 0.658
Na3 0.885 0.771 0.158
Na4 0.885 0.771 0.802
Mn1 0.228 0.456 0.042
Mn2 0.772 0.544 0.542

Properties
Crystal system: orthorhombic
VASP energy in eV per atom: -4.33
Energy relative to the elements, uncorrected in eV per atom: -0.57
D(E_F) in states/eV/atom: 0.341